Entry 1:
Entry from Alexandria: an optimized crystal structure of HfTi8Sb2 (GGA-PBE).

a b c (Å): 3.9650 3.9650 13.4076
angles (deg): 90.00 90.00 90.00
Closest atoms and distances in Å follow each position.
Space group P4/mmm (No. 123)
Inequivalent atoms, fractional coordinates:
Hf (0.0000, 0.0000, 0.0000) (multiplicity 1)  8 Ti 2.98
Ti (0.0000, 0.5000, 0.1662) (multiplicity 4)  6 Ti 2.80-2.95, 2 Hf 2.98, 2 Sb 3.03
Ti (0.0000, 0.5000, 0.5000) (multiplicity 2)  8 Ti 2.80-3.03, 4 Sb 2.95
Ti (0.5000, 0.5000, 0.3292) (multiplicity 2)  4 Sb 2.81, 8 Ti 2.95-3.03
Sb (0.0000, 0.0000, 0.3370) (multiplicity 2)  12 Ti 2.81-3.03

## Properties
The energy comes out at -7.408 eV per atom. As for the crystal system: tetragonal.

Entry 2:
Entry from Alexandria: an optimized crystal structure of Na2AsSe2 (GGA-PBE).

a b c (Å): 4.4469 19.1262 6.0692
angles (deg): 90.00 90.00 90.00
Closest atoms and distances in Å follow each position.
Space group Cmc2_1 (No. 36)
Inequivalent atoms, fractional coordinates:
Na (0.0000, 0.0282, 0.0000) (multiplicity 4)  5 Se 3.14-3.36, 2 Na 3.22, 2 As 3.32
Na (0.0000, 0.1954, 0.7517) (multiplicity 4)  6 Se 3.00-3.21
As (0.0000, 0.3818, 0.7903) (multiplicity 4)  3 Se 2.45-2.56
Se (0.0000, 0.1836, 0.2591) (multiplicity 4)  2 As 2.56
Se (0.0000, 0.4170, 0.1791) (multiplicity 4)  1 As 2.45

## Properties
The energy comes out at -3.456 eV per atom. As for the crystal system: orthorhombic.

Entry 3:
Entry from Alexandria: an optimized crystal structure of SbPd2Pb2 (GGA-PBE).

a b c (Å): 8.3309 8.3309 3.3611
angles (deg): 90.00 90.00 90.00
Closest atoms and distances in Å follow each position.
Space group P4/mbm (No. 127)
Inequivalent atoms, fractional coordinates:
Sb (0.0000, 0.0000, 0.0000) (multiplicity 2)  4 Pb 3.13, 2 Sb 3.36
Pd (0.1282, 0.3718, 0.5000) (multiplicity 4)  6 Pb 2.94-3.01, 1 Pd 3.02
Pb (0.1602, 0.6602, 0.0000) (multiplicity 4)  6 Pd 2.94-3.01, 2 Sb 3.13

## Properties
The energy comes out at -4.349 eV per atom. As for the crystal system: tetragonal. Its energy above the lowest structure with this stoichiometry is 280 meV per atom.

Entry 4:
Entry from Alexandria: an optimized crystal structure of Zn3CuAg2 (GGA-PBE).

a b c (Å): 4.2029 12.6252 6.8828
angles (deg): 90.00 90.00 90.00
Closest atoms and distances in Å follow each position.
Space group Cmmm (No. 65)
Inequivalent atoms, fractional coordinates:
Zn (0.0000, 0.0000, 0.2407) (multiplicity 4)  2 Cu 2.66, 6 Ag 2.68-2.76
Zn (0.0000, 0.3268, 0.2290) (multiplicity 8)  3 Cu 2.59-2.63, 5 Ag 2.70-2.87, 2 Zn 2.86
Cu (0.0000, 0.1644, 0.0000) (multiplicity 4)  8 Zn 2.59-2.66
Ag (0.0000, 0.1661, 0.5000) (multiplicity 4)  8 Zn 2.75-2.81, 4 Ag 2.97-2.98
Ag (0.0000, 0.5000, 0.0000) (multiplicity 2)  8 Zn 2.68-2.70, 4 Cu 2.95
Ag (0.0000, 0.5000, 0.5000) (multiplicity 2)  8 Zn 2.76-2.87, 4 Ag 2.97

## Properties
The energy comes out at -2.307 eV per atom. As for the crystal system: orthorhombic. The formation energy is -0.037 eV per atom. Its energy above the lowest structure with this stoichiometry is 0 meV per atom.

Entry 5:
Entry from Alexandria: an optimized crystal structure of SrMg2W (GGA-PBE).

a b c (Å): 4.6857 4.6857 20.9822
angles (deg): 90.00 90.00 90.00
Closest atoms and distances in Å follow each position.
Space group I-42d (No. 122)
Inequivalent atoms, fractional coordinates:
Sr (0.0000, 0.0000, 0.0000) (multiplicity 4)  4 Mg 3.25, 4 W 3.31
Mg (0.1743, 0.2500, 0.6250) (multiplicity 8)  2 Mg 2.86, 2 W 2.99
W (0.0000, 0.0000, 0.5000) (multiplicity 4)  4 Mg 2.99, 4 Sr 3.31

## Properties
The energy comes out at -3.267 eV per atom. As for the crystal system: tetragonal. The formation energy is 1.189 eV per atom. Its energy above the lowest structure with this stoichiometry is 607 meV per atom.

Entry 6:
Entry from Alexandria: an optimized crystal structure of LuZrAgPt (GGA-PBE).

a b c (Å): 6.8714 6.8714 6.8714
angles (deg): 90.00 90.00 90.00
Closest atoms and distances in Å follow each position.
Space group F-43m (No. 216)
Inequivalent atoms, fractional coordinates:
Lu (0.0000, 0.0000, 0.0000) (multiplicity 4)  4 Ag 2.98, 4 Pt 2.98
Zr (0.0000, 0.0000, 0.5000) (multiplicity 4)  4 Pt 2.98, 4 Ag 2.98
Ag (0.2500, 0.2500, 0.2500) (multiplicity 4)  4 Zr 2.98, 4 Lu 2.98
Pt (0.2500, 0.2500, 0.7500) (multiplicity 4)  4 Lu 2.98, 4 Zr 2.98

## Properties
The energy comes out at -6.116 eV per atom. As for the crystal system: cubic. The formation energy is -0.626 eV per atom.

Entry 7:
Entry from Alexandria: an optimized crystal structure of Pr5Nd4Sc (GGA-PBE).

a b c (Å): 17.5886 3.6165 11.6145
angles (deg): 90.00 109.61 90.00
Closest atoms and distances in Å follow each position.
Space group C2/m (No. 12)
Inequivalent atoms, fractional coordinates:
Pr (0.0000, 0.0000, 0.0000) (multiplicity 2)  6 Nd 3.48-3.76, 6 Pr 3.62-3.65
Pr (0.1914, 0.5000, 0.0855) (multiplicity 4)  4 Nd 3.40-3.70, 6 Pr 3.62-3.77
Pr (0.2047, 0.5000, 0.6087) (multiplicity 4)  3 Nd 3.50-3.68, 6 Pr 3.62-3.86, 2 Sc 3.84
Nd (0.0840, 0.5000, 0.2999) (multiplicity 4)  4 Pr 3.50-3.76, 4 Nd 3.60-3.62, 2 Sc 3.63
Nd (0.1040, 0.0000, 0.7928) (multiplicity 4)  1 Sc 3.28, 2 Pr 3.40-3.48, 4 Nd 3.60-3.62
Sc (0.0000, 0.0000, 0.5000) (multiplicity 2)  6 Nd 3.28-3.63, 2 Sc 3.62

## Properties
The energy comes out at -4.867 eV per atom. As for the crystal system: monoclinic. The formation energy is 0.063 eV per atom. Its energy above the lowest structure with this stoichiometry is 36 meV per atom.

Entry 8:
Entry from Alexandria: an optimized crystal structure of Dy6TcHg2 (GGA-PBE).

a b c (Å): 5.1038 7.0949 14.7268
angles (deg): 90.00 90.00 90.00
Closest atoms and distances in Å follow each position.
Space group Immm (No. 71)
Inequivalent atoms, fractional coordinates:
Dy (0.0000, 0.2317, 0.0000) (multiplicity 4)  2 Tc 3.04, 2 Hg 3.10, 1 Dy 3.29
Dy (0.0000, 0.2565, 0.3430) (multiplicity 8)  1 Tc 2.89, 3 Hg 3.12-3.14
Tc (0.0000, 0.5000, 0.5000) (multiplicity 2)  8 Dy 2.89-3.04
Hg (0.0000, 0.5000, 0.1665) (multiplicity 4)  8 Dy 3.10-3.14

## Properties
The energy comes out at -4.370 eV per atom. As for the crystal system: orthorhombic. The formation energy is -0.083 eV per atom. Its energy above the lowest structure with this stoichiometry is 173 meV per atom.

Entry 9:
Entry from Alexandria: an optimized crystal structure of Cs3Hg6Bi2 (GGA-PBE).

a b c (Å): 5.5189 5.5189 30.1391
angles (deg): 90.00 90.00 90.00
Closest atoms and distances in Å follow each position.
Space group I4/mmm (No. 139)
Inequivalent atoms, fractional coordinates:
Cs (0.0000, 0.0000, 0.0000) (multiplicity 2)  8 Bi 4.18, 8 Hg 4.26
Cs (0.0000, 0.0000, 0.1965) (multiplicity 4)  9 Hg 3.84-3.97
Hg (0.0000, 0.0000, 0.3281) (multiplicity 4)  4 Hg 3.37, 1 Bi 3.68
Hg (0.0000, 0.5000, 0.1077) (multiplicity 8)  2 Bi 3.26, 2 Hg 3.37
Bi (0.0000, 0.0000, 0.4502) (multiplicity 4)  1 Bi 3.00, 4 Hg 3.26

## Properties
The energy comes out at -1.319 eV per atom. As for the crystal system: tetragonal. The formation energy is -0.216 eV per atom.

Entry 10:
Entry from Alexandria: an optimized crystal structure of YIrSe2 (GGA-PBE).

a b c (Å): 5.0050 5.0050 15.3833
angles (deg): 90.00 90.00 90.00
Closest atoms and distances in Å follow each position.
Space group I-42d (No. 122)
Inequivalent atoms, fractional coordinates:
Y (0.0000, 0.0000, 0.0000) (multiplicity 4)  4 Se 2.76
Ir (0.0000, 0.0000, 0.5000) (multiplicity 4)  4 Se 2.49
Se (0.1948, 0.2500, 0.6250) (multiplicity 8)  2 Ir 2.49, 2 Y 2.76

## Properties
The energy comes out at -6.200 eV per atom. As for the crystal system: tetragonal. Its energy above the lowest structure with this stoichiometry is 298 meV per atom.

Entry 11:
Entry from Alexandria: an optimized crystal structure of SrCu2Hg (GGA-PBE).

a b c (Å): 4.0512 4.1319 5.7187
angles (deg): 90.00 110.66 90.00
Closest atoms and distances in Å follow each position.
Space group Pm (No. 6)
Inequivalent atoms, fractional coordinates:
Sr (0.0000, 0.0000, 0.0000) (multiplicity 1)  7 Cu 2.95-3.15
Cu (0.6103, 0.5000, 0.2198) (multiplicity 1)  2 Cu 2.40
Cu (0.7190, 0.0000, 0.4480) (multiplicity 1)  2 Cu 2.40
Hg (0.3063, 0.5000, 0.6102) (multiplicity 1)  6 Cu 2.91-3.04

## Properties
The energy comes out at -2.580 eV per atom. As for the crystal system: monoclinic. The formation energy is -0.036 eV per atom. Its energy above the lowest structure with this stoichiometry is 104 meV per atom.

Entry 12:
Entry from Alexandria: an optimized crystal structure of PPt (GGA-PBE).

a b c (Å): 3.4089 3.4089 20.1053
angles (deg): 90.00 90.00 120.00
Closest atoms and distances in Å follow each position.
Space group R-3m (No. 166, hexagonal axes)
Inequivalent atoms, fractional coordinates:
P (0.0000, 0.0000, 0.1132) (multiplicity 6)  3 Pt 2.31
Pt (0.0000, 0.0000, 0.3863) (multiplicity 6)  3 P 2.31

## Properties
The energy comes out at -6.034 eV per atom. As for the crystal system: trigonal. The formation energy is -0.309 eV per atom.

Entry 13:
Entry from Alexandria: an optimized crystal structure of Pm8Bi2Ir (GGA-PBE).

a b c (Å): 19.5757 4.7596 7.5869
angles (deg): 90.00 98.42 90.00
Closest atoms and distances in Å follow each position.
Space group C2/m (No. 12)
Inequivalent atoms, fractional coordinates:
Pm (0.0039, 0.0000, 0.2787) (multiplicity 4)  2 Ir 2.92
Pm (0.0942, 0.5000, 0.0101) (multiplicity 4)  2 Bi 3.42, 8 Pm 3.59-3.74
Pm (0.1419, 0.5000, 0.5361) (multiplicity 4)  1 Ir 2.75
Pm (0.2149, 0.0000, 0.8504) (multiplicity 4)  3 Bi 3.34-3.37, 7 Pm 3.43-3.73
Bi (0.1828, 0.0000, 0.2744) (multiplicity 4)  9 Pm 3.27-3.52
Ir (0.0000, 0.5000, 0.5000) (multiplicity 2)  6 Pm 2.75-2.92

## Properties
The energy comes out at -5.409 eV per atom. As for the crystal system: monoclinic. The formation energy is -0.442 eV per atom.

Entry 14:
Entry from Alexandria: an optimized crystal structure of NaIn5Au6 (GGA-PBE).

a b c (Å): 6.9084 13.0883 6.7532
angles (deg): 90.00 113.66 90.00
Closest atoms and distances in Å follow each position.
Space group C2/m (No. 12)
Inequivalent atoms, fractional coordinates:
Na (0.0000, 0.0000, 0.0000) (multiplicity 2)  6 Au 2.94-3.25
In (0.0000, 0.1267, 0.5000) (multiplicity 4)  6 Au 2.86-2.94
In (0.0000, 0.3058, 0.0000) (multiplicity 4)  6 Au 2.77-2.97
In (0.0000, 0.5000, 0.5000) (multiplicity 2)  6 Au 2.81-2.85
Au (0.1860, 0.5000, 0.1915) (multiplicity 4)  1 Au 2.82, 5 In 2.85-2.91, 1 Na 2.94
Au (0.2092, 0.3193, 0.6929) (multiplicity 8)  5 In 2.77-2.97, 1 Au 3.02

## Properties
The energy comes out at -3.080 eV per atom. As for the crystal system: monoclinic. The formation energy is -0.190 eV per atom.

Entry 15:
Entry from Alexandria: an optimized crystal structure of TlPb2Se (GGA-PBE).

a b c (Å): 4.5731 4.5731 11.2823
angles (deg): 90.00 90.00 90.00
Closest atoms and distances in Å follow each position.
Space group I-4m2 (No. 119)
Inequivalent atoms, fractional coordinates:
Tl (0.0000, 0.0000, 0.0000) (multiplicity 2)  4 Pb 3.23
Pb (0.0000, 0.0000, 0.5000) (multiplicity 2)  4 Tl 3.23
Pb (0.0000, 0.5000, 0.7500) (multiplicity 2)  4 Se 3.23
Se (0.0000, 0.5000, 0.2500) (multiplicity 2)  4 Pb 3.23

## Properties
The energy comes out at -3.400 eV per atom. As for the crystal system: tetragonal. Its energy above the lowest structure with this stoichiometry is 69 meV per atom.

Entry 16:
Entry from Alexandria: an optimized crystal structure of Ac4CeSb5 (GGA-PBE).

a b c (Å): 4.7561 4.7561 33.5335
angles (deg): 90.00 90.00 90.00
Closest atoms and distances in Å follow each position.
Space group I4/mmm (No. 139)
Inequivalent atoms, fractional coordinates:
Ac (0.0000, 0.0000, 0.0991) (multiplicity 4)  6 Sb 3.32-3.37
Ac (0.0000, 0.0000, 0.3010) (multiplicity 4)  6 Sb 3.36-3.44
Ce (0.0000, 0.0000, 0.5000) (multiplicity 2)  6 Sb 3.23-3.36
Sb (0.0000, 0.0000, 0.0000) (multiplicity 2)  2 Ac 3.32, 4 Ce 3.36
Sb (0.0000, 0.0000, 0.1997) (multiplicity 4)  6 Ac 3.36-3.39
Sb (0.0000, 0.0000, 0.4036) (multiplicity 4)  1 Ce 3.23, 5 Ac 3.36-3.44

## Properties
The energy comes out at -5.462 eV per atom. As for the crystal system: tetragonal.

Entry 17:
Entry from Alexandria: an optimized crystal structure of Li2AgMo (GGA-PBE).

a b c (Å): 5.7501 8.6849 2.5534
angles (deg): 90.00 90.00 90.00
Closest atoms and distances in Å follow each position.
Space group Cmmm (No. 65)
Inequivalent atoms, fractional coordinates:
Li (0.2500, 0.2500, 0.0000) (multiplicity 4)  2 Li 2.55
Ag (0.0000, 0.0000, 0.5000) (multiplicity 2)  2 Ag 2.55
Mo (0.0000, 0.5000, 0.5000) (multiplicity 2)  2 Mo 2.55

## Properties
The energy comes out at -3.965 eV per atom. As for the crystal system: orthorhombic. The formation energy is 0.412 eV per atom. Its energy above the lowest structure with this stoichiometry is 237 meV per atom.

Entry 18:
Entry from Alexandria: an optimized crystal structure of YCrOs2 (GGA-PBE).

a b c (Å): 9.3861 2.9543 5.1445
angles (deg): 90.00 107.10 90.00
Closest atoms and distances in Å follow each position.
Space group C2/m (No. 12)
Inequivalent atoms, fractional coordinates:
Y (0.0000, 0.0000, 0.0000) (multiplicity 2)  2 Y 2.95, 4 Cr 2.97, 6 Os 2.99-3.00
Cr (0.0000, 0.5000, 0.5000) (multiplicity 2)  4 Os 2.53
Os (0.2251, 0.0000, 0.6895) (multiplicity 4)  2 Cr 2.53, 2 Os 2.60

## Properties
The energy comes out at -9.339 eV per atom. As for the crystal system: monoclinic. The formation energy is 0.298 eV per atom. Its energy above the lowest structure with this stoichiometry is 155 meV per atom.

Entry 19:
Entry from Alexandria: an optimized crystal structure of FeMo4Cl (GGA-PBE).

a b c (Å): 7.4237 7.4237 7.4237
angles (deg): 90.00 90.00 90.00
Closest atoms and distances in Å follow each position.
Space group F-43m (No. 216)
Inequivalent atoms, fractional coordinates:
Fe (0.0000, 0.0000, 0.0000) (multiplicity 4)  12 Mo 3.08, 4 Cl 3.21
Mo (0.1243, 0.1243, 0.6243) (multiplicity 16)  6 Mo 2.61-2.64
Cl (0.2500, 0.2500, 0.2500) (multiplicity 4)  12 Mo 3.08, 4 Fe 3.21

## Properties
The energy comes out at -7.967 eV per atom. As for the crystal system: cubic.

Entry 20:
Entry from Alexandria: an optimized crystal structure of Li2Sn2Cl7 (GGA-PBE).

a b c (Å): 12.1786 8.7746 7.1139
angles (deg): 90.00 121.11 90.00
Closest atoms and distances in Å follow each position.
Space group C2/m (No. 12)
Inequivalent atoms, fractional coordinates:
Li (0.0000, 0.1859, 0.0000) (multiplicity 4)  4 Cl 2.38-2.42
Sn (0.2276, 0.5000, 0.5121) (multiplicity 4)  4 Cl 2.64-2.73
Cl (0.0000, 0.5000, 0.5000) (multiplicity 2)  2 Sn 2.73
Cl (0.0189, 0.0000, 0.2656) (multiplicity 4)  2 Li 2.42, 1 Sn 2.64
Cl (0.2063, 0.2970, 0.2213) (multiplicity 8)  1 Li 2.38, 1 Sn 2.64

## Properties
The energy comes out at -3.451 eV per atom. As for the crystal system: monoclinic.